Record 1
A plane-wave DFT calculation with PBE was carried out for NaPr4I7N2 after structural relaxation.

Its total DFT energy (no corrections) is -273.4 eV/cell. Its crystal system is orthorhombic. The value obtained for the total moment is 0.00 μB per cell. As for the space-group type: Pna2_1.

Unit cell a=14.347 b=11.085 c=12.146 alpha=90.00 beta=90.00 gamma=90.00
Atoms (fractional coordinates):
Na  0.099  0.053  0.756
Na  0.599  0.447  0.756
Na  0.901  0.947  0.256
Na  0.401  0.553  0.256
I  0.793  0.689  0.294
I  0.016  0.852  0.458
I  0.953  0.177  0.611
I  0.268  0.903  0.831
I  0.023  0.186  0.288
I  0.228  0.631  0.592
I  0.232  0.403  0.331
I  0.984  0.148  0.958
I  0.484  0.352  0.958
I  0.749  0.932  0.036
I  0.728  0.869  0.592
I  0.768  0.597  0.831
I  0.772  0.369  0.092
I  0.707  0.189  0.794
I  0.453  0.323  0.611
I  0.477  0.686  0.788
I  0.977  0.814  0.788
I  0.516  0.648  0.458
I  0.751  0.432  0.536
I  0.523  0.314  0.288
I  0.047  0.823  0.111
I  0.547  0.677  0.111
I  0.272  0.131  0.092
I  0.249  0.568  0.036
I  0.293  0.811  0.294
I  0.207  0.311  0.794
I  0.732  0.097  0.331
I  0.251  0.068  0.536
Pr  0.085  0.625  0.314
Pr  0.588  0.105  0.557
Pr  0.915  0.375  0.814
Pr  0.603  0.915  0.821
Pr  0.916  0.626  0.580
Pr  0.412  0.895  0.057
Pr  0.416  0.874  0.580
Pr  0.103  0.585  0.821
Pr  0.584  0.126  0.080
Pr  0.912  0.605  0.057
Pr  0.897  0.415  0.321
Pr  0.585  0.875  0.314
Pr  0.084  0.374  0.080
Pr  0.088  0.395  0.557
Pr  0.415  0.125  0.814
Pr  0.397  0.085  0.321
N  0.503  0.015  0.943
N  0.004  0.495  0.692
N  0.496  0.995  0.192
N  0.504  0.005  0.692
N  0.996  0.505  0.192
N  0.497  0.985  0.443
N  0.003  0.485  0.943
N  0.997  0.515  0.443

Record 2
A plane-wave DFT calculation with PBE was carried out for Nd4I4N3 after structural relaxation.

Its total DFT energy (no corrections) is -64.4 eV/cell. Its crystal system is orthorhombic. The value obtained for the total moment is 0.72 μB per cell. As for the space-group type: Pmm2.

Unit cell a=4.028 b=8.025 c=9.723 alpha=90.00 beta=90.00 gamma=90.00
Atoms (fractional coordinates):
N  0.000  0.211  0.002
N  0.000  0.789  0.002
N  0.500  0.500  0.988
I  0.500  0.251  0.329
I  0.500  0.749  0.329
I  0.000  0.500  0.662
I  0.000  0.000  0.678
Nd  0.500  0.740  0.868
Nd  0.000  0.000  0.163
Nd  0.000  0.500  0.112
Nd  0.500  0.260  0.868

Record 3
A plane-wave DFT calculation with PBE was carried out for Nd2IN after structural relaxation.

Its total DFT energy (no corrections) is -48.6 eV/cell. Its crystal system is trigonal. The value obtained for the total moment is 0.00 μB per cell. As for the space-group type: P3m1.

Unit cell a=3.798 b=3.798 c=15.194 alpha=90.00 beta=90.00 gamma=120.00
Atoms (fractional coordinates):
Nd  0.000  0.000  0.586
Nd  0.667  0.333  0.415
Nd  0.667  0.333  0.085
Nd  0.000  0.000  0.914
I  0.667  0.333  0.750
I  0.000  0.000  0.250
N  0.333  0.667  0.501
N  0.333  0.667  0.000

Record 4
A plane-wave DFT calculation with PBE was carried out for Pr2Nd2I5N after structural relaxation.

Its total DFT energy (no corrections) is -48.3 eV/cell. Its crystal system is monoclinic. The value obtained for the total moment is 0.01 μB per cell. As for the space-group type: C2/m.

Unit cell a=9.837 b=9.837 c=8.864 alpha=102.68 beta=102.68 gamma=23.75
Atoms (fractional coordinates):
N  0.500  0.500  0.000
I  0.835  0.835  0.655
I  0.829  0.829  0.179
I  0.500  0.500  0.500
I  0.165  0.165  0.345
I  0.171  0.171  0.821
Pr  0.001  0.001  0.807
Pr  0.999  0.999  0.193
Nd  0.631  0.631  0.066
Nd  0.369  0.369  0.934